Entry 1:
# GGA-PBE Sm3Y8Th, relaxed
data_Sm3Y8Th
_symmetry_space_group_name_H-M 'I m m m'
_symmetry_Int_Tables_number 71
_symmetry_space_group_name_Hall '-I 2 2'
_cell_length_a 6.4707
_cell_length_b 11.4725
_cell_length_c 11.5124
_cell_angle_alpha 90.00
_cell_angle_beta 90.00
_cell_angle_gamma 90.00
loop_
_atom_site_label
_atom_site_fract_x
_atom_site_fract_y
_atom_site_fract_z
Sm1 0.0000 0.0000 0.0000
Sm2 0.0000 0.5000 0.2418
Y1 0.0000 0.1685 0.2515
Y2 0.2467 0.2530 0.5000
Th1 0.0000 0.0000 0.5000
# energy of formation from the pure elements = 0.332 eV per atom

***

Entry 2:
# GGA-PBE LaOsW2, relaxed
data_LaOsW2
_symmetry_space_group_name_H-M 'I m m m'
_symmetry_Int_Tables_number 71
_symmetry_space_group_name_Hall '-I 2 2'
_cell_length_a 2.9047
_cell_length_b 5.0001
_cell_length_c 10.8055
_cell_angle_alpha 90.00
_cell_angle_beta 90.00
_cell_angle_gamma 90.00
loop_
_atom_site_label
_atom_site_fract_x
_atom_site_fract_y
_atom_site_fract_z
La1 0.0000 0.0000 0.0000
Os1 0.0000 0.0000 0.5000
W1 0.0000 0.5000 0.2107
# relative energy among the computed polymorphs = 216 meV/atom
# energy of formation from the pure elements = 0.610 eV per atom

***

Entry 3:
# GGA-PBE ZrTaFe2, relaxed
data_ZrTaFe2
_symmetry_space_group_name_H-M 'P 4/m m m'
_symmetry_Int_Tables_number 123
_symmetry_space_group_name_Hall '-P 4 2'
_cell_length_a 3.1040
_cell_length_b 3.1040
_cell_length_c 6.3012
_cell_angle_alpha 90.00
_cell_angle_beta 90.00
_cell_angle_gamma 90.00
loop_
_atom_site_label
_atom_site_fract_x
_atom_site_fract_y
_atom_site_fract_z
Zr1 0.0000 0.0000 0.0000
Ta1 0.0000 0.0000 0.5000
Fe1 0.5000 0.5000 0.2678
# energy of formation from the pure elements = -0.169 eV per atom

***

Entry 4:
# GGA-PBE Rb2Zr2CuTe6, relaxed
data_Rb2Zr2CuTe6
_symmetry_space_group_name_H-M 'C 1 2/m 1'
_symmetry_Int_Tables_number 12
_symmetry_space_group_name_Hall '-C 2y'
_cell_length_a 7.0748
_cell_length_b 12.6639
_cell_length_c 9.2037
_cell_angle_alpha 90.00
_cell_angle_beta 105.98
_cell_angle_gamma 90.00
loop_
_atom_site_label
_atom_site_fract_x
_atom_site_fract_y
_atom_site_fract_z
Rb1 0.0000 0.1641 0.0000
Zr1 0.0000 0.3309 0.5000
Cu1 0.0000 0.0000 0.5000
Te1 0.2335 0.1648 0.6886
Te2 0.2466 0.5000 0.6772
# formation energy without anion corrections = -0.72 eV/atom

***

Entry 5:
# GGA-PBE TbPm12Th5, relaxed
data_TbPm12Th5
_symmetry_space_group_name_H-M 'C 1 2/m 1'
_symmetry_Int_Tables_number 12
_symmetry_space_group_name_Hall '-C 2y'
_cell_length_a 6.2875
_cell_length_b 10.8894
_cell_length_c 17.8201
_cell_angle_alpha 90.00
_cell_angle_beta 96.73
_cell_angle_gamma 90.00
loop_
_atom_site_label
_atom_site_fract_x
_atom_site_fract_y
_atom_site_fract_z
Tb1 0.0000 0.0000 0.0000
Pm1 0.1134 0.0000 0.3370
Pm2 0.1136 0.3331 0.3386
Pm3 0.2168 0.5000 0.1620
Pm4 0.2220 0.1685 0.1619
Th1 0.0000 0.1662 0.5000
Th2 0.0000 0.3334 0.0000
Th3 0.0000 0.5000 0.5000
# energy of formation from the pure elements = 0.024 eV per atom

***

Entry 6:
# GGA-PBE TmNb4Ge2, relaxed
data_TmNb4Ge2
_symmetry_space_group_name_H-M 'C m m m'
_symmetry_Int_Tables_number 65
_symmetry_space_group_name_Hall '-C 2 2'
_cell_length_a 3.6762
_cell_length_b 17.1730
_cell_length_c 4.2481
_cell_angle_alpha 90.00
_cell_angle_beta 90.00
_cell_angle_gamma 90.00
loop_
_atom_site_label
_atom_site_fract_x
_atom_site_fract_y
_atom_site_fract_z
Tm1 0.0000 0.0000 0.0000
Nb1 0.0000 0.1815 0.5000
Nb2 0.0000 0.3245 0.0000
Ge1 0.0000 0.4286 0.5000
# energy of formation from the pure elements = -0.359 eV per atom

***

Entry 7:
# GGA-PBE RbSiB, relaxed
data_RbSiB
_symmetry_space_group_name_H-M 'C 1 m 1'
_symmetry_Int_Tables_number 8
_symmetry_space_group_name_Hall 'C -2y'
_cell_length_a 8.9606
_cell_length_b 10.5262
_cell_length_c 3.4048
_cell_angle_alpha 90.00
_cell_angle_beta 111.47
_cell_angle_gamma 90.00
loop_
_atom_site_label
_atom_site_fract_x
_atom_site_fract_y
_atom_site_fract_z
Rb1 0.0000 0.2006 0.0000
Si1 0.0475 0.5000 0.5600
Si2 0.2246 0.5000 0.2316
B1 0.3103 0.0000 0.5717
B2 0.3111 0.0000 0.0943
# formation energy without anion corrections = 0.27 eV/atom

***

Entry 8:
# GGA-PBE PmGeSbAu, relaxed
data_PmGeSbAu
_symmetry_space_group_name_H-M 'F -4 3 m'
_symmetry_Int_Tables_number 216
_symmetry_space_group_name_Hall 'F -4 2 3'
_cell_length_a 7.3075
_cell_length_b 7.3075
_cell_length_c 7.3075
_cell_angle_alpha 90.00
_cell_angle_beta 90.00
_cell_angle_gamma 90.00
loop_
_atom_site_label
_atom_site_fract_x
_atom_site_fract_y
_atom_site_fract_z
Pm1 0.0000 0.0000 0.0000
Ge1 0.0000 0.0000 0.5000
Sb1 0.2500 0.2500 0.7500
Au1 0.2500 0.2500 0.2500
# formation energy without anion corrections = -0.36 eV/atom

***

Entry 9:
# GGA-PBE La4NiTe, relaxed
data_La4NiTe
_symmetry_space_group_name_H-M 'F -4 3 m'
_symmetry_Int_Tables_number 216
_symmetry_space_group_name_Hall 'F -4 2 3'
_cell_length_a 8.9751
_cell_length_b 8.9751
_cell_length_c 8.9751
_cell_angle_alpha 90.00
_cell_angle_beta 90.00
_cell_angle_gamma 90.00
loop_
_atom_site_label
_atom_site_fract_x
_atom_site_fract_y
_atom_site_fract_z
La1 0.1243 0.1243 0.3757
Ni1 0.0000 0.0000 0.0000
Te1 0.2500 0.2500 0.7500
# relative energy among the computed polymorphs = 824 meV/atom
# formation energy without anion corrections = 0.25 eV/atom

***

Entry 10:
# GGA-PBE NaLa2Ni, relaxed
data_NaLa2Ni
_symmetry_space_group_name_H-M 'P 4/m m m'
_symmetry_Int_Tables_number 123
_symmetry_space_group_name_Hall '-P 4 2'
_cell_length_a 3.5484
_cell_length_b 3.5484
_cell_length_c 9.6758
_cell_angle_alpha 90.00
_cell_angle_beta 90.00
_cell_angle_gamma 90.00
loop_
_atom_site_label
_atom_site_fract_x
_atom_site_fract_y
_atom_site_fract_z
Na1 0.0000 0.0000 0.0000
La1 0.5000 0.5000 0.3273
Ni1 0.0000 0.0000 0.5000
# relative energy among the computed polymorphs = 10 meV/atom
# energy of formation from the pure elements = -0.079 eV per atom

***

Entry 11:
# GGA-PBE Tb4Cu2Rh, relaxed
data_Tb4Cu2Rh
_symmetry_space_group_name_H-M 'R -3 m'
_symmetry_Int_Tables_number 166
_symmetry_space_group_name_Hall '-R 3 2"'
_cell_length_a 4.8962
_cell_length_b 4.8962
_cell_length_c 23.8357
_cell_angle_alpha 90.00
_cell_angle_beta 90.00
_cell_angle_gamma 120.00
loop_
_atom_site_label
_atom_site_fract_x
_atom_site_fract_y
_atom_site_fract_z
Tb1 0.0000 0.0000 0.1239
Tb2 0.0000 0.0000 0.3748
Cu1 0.0000 0.0000 0.2489
Rh1 0.0000 0.0000 0.0000
# energy of formation from the pure elements = -0.303 eV per atom

***

Entry 12:
# GGA-PBE Zn2CdRe, relaxed
data_Zn2CdRe
_symmetry_space_group_name_H-M 'R -3 m'
_symmetry_Int_Tables_number 166
_symmetry_space_group_name_Hall '-R 3 2"'
_cell_length_a 2.8253
_cell_length_b 2.8253
_cell_length_c 28.6467
_cell_angle_alpha 90.00
_cell_angle_beta 90.00
_cell_angle_gamma 120.00
loop_
_atom_site_label
_atom_site_fract_x
_atom_site_fract_y
_atom_site_fract_z
Zn1 0.0000 0.0000 0.2423
Cd1 0.0000 0.0000 0.0000
Re1 0.0000 0.0000 0.5000
# energy of formation from the pure elements = 0.247 eV per atom

***

Number 1: size of the total moment 0.000 μB/f.u.. Number 2: size of the total moment 0.000 μB/f.u.. Number 3: size of the total moment 1.063 μB/f.u.. Number 4: size of the total moment 0.000 μB/f.u.. Number 5: size of the total moment 0.000 μB/f.u.. Number 6: size of the total moment 0.000 μB/f.u.. Number 7: size of the total moment 0.000 μB/f.u.. Number 8: size of the total moment 0.000 μB/f.u.. Number 9: size of the total moment 0.001 μB/f.u.. Number 10: size of the total moment 0.000 μB/f.u.. Number 11: size of the total moment 0.000 μB/f.u.. Number 12: size of the total moment 0.000 μB/f.u..